# 1
# TbSm2Ag5, optimized geometry, DFT PBE
# **Total magnetic moment**: 0.0 μB/f.u.
# **N(E_F)**: 0.73 states/eV per atom
# **Theoretical density**: 8.9 Mg/m³
# **VASP energy**: -30.1 eV per formula unit
data_TbSm2Ag5
_symmetry_space_group_name_H-M 'I 4/m m m'
_symmetry_Int_Tables_number 139
_symmetry_space_group_name_Hall '-I 4 2'
_cell_length_a 5.117
_cell_length_b 5.117
_cell_length_c 14.317
_cell_angle_alpha 90.00
_cell_angle_beta 90.00
_cell_angle_gamma 90.00
loop_
_atom_site_label
_atom_site_type_symbol
_atom_site_fract_x
_atom_site_fract_y
_atom_site_fract_z
_atom_site_occupancy
Tb1 Tb 0.000 0.000 0.000 1
Sm1 Sm 0.000 0.000 0.268 1
Ag1 Ag 0.000 0.000 0.500 1
Ag2 Ag 0.000 0.500 0.116 1

=====

# 2
# Ca2MgPb5, optimized geometry, DFT PBE
# **Total magnetic moment**: 0.0 μB/f.u.
# **N(E_F)**: 0.65 states/eV per atom
# **Theoretical density**: 8.1 Mg/m³
# **VASP energy**: -26.6 eV per formula unit
data_Ca2MgPb5
_symmetry_space_group_name_H-M 'P b a m'
_symmetry_Int_Tables_number 55
_symmetry_space_group_name_Hall '-P 2 2ab'
_cell_length_a 6.848
_cell_length_b 13.759
_cell_length_c 4.941
_cell_angle_alpha 90.00
_cell_angle_beta 90.00
_cell_angle_gamma 90.00
loop_
_atom_site_label
_atom_site_type_symbol
_atom_site_fract_x
_atom_site_fract_y
_atom_site_fract_z
_atom_site_occupancy
Ca1 Ca 0.212 0.132 0.000 1
Mg1 Mg 0.000 0.500 0.500 1
Pb1 Pb 0.000 0.000 0.500 1
Pb2 Pb 0.037 0.744 0.500 1
Pb3 Pb 0.212 0.386 0.000 1

=====

# 3
# LaEuAgIr, optimized geometry, DFT PBE
# **Total magnetic moment**: 7.1 μB/f.u.
# **N(E_F)**: 1.46 states/eV per atom
# **Theoretical density**: 10.1 Mg/m³
# **VASP energy**: -28.5 eV per formula unit
data_LaEuAgIr
_symmetry_space_group_name_H-M 'F -4 3 m'
_symmetry_Int_Tables_number 216
_symmetry_space_group_name_Hall 'F -4 2 3'
_cell_length_a 7.304
_cell_length_b 7.304
_cell_length_c 7.304
_cell_angle_alpha 90.00
_cell_angle_beta 90.00
_cell_angle_gamma 90.00
loop_
_atom_site_label
_atom_site_type_symbol
_atom_site_fract_x
_atom_site_fract_y
_atom_site_fract_z
_atom_site_occupancy
La1 La 0.000 0.000 0.000 1
Eu1 Eu 0.000 0.000 0.500 1
Ag1 Ag 0.250 0.250 0.250 1
Ir1 Ir 0.250 0.250 0.750 1

=====

Energy of formation from the pure elements, record by record: -1.74, -2.49, -1.60 eV per formula unit